! SrSb2Pd6 (PBE-GGA, optimized geometry); values from VASP
&SYSTEM
  ibrav = 0, nat = 9, ntyp = 3
/
ATOMIC_SPECIES
Sr 87.62 Sr.upf
Sb 121.76 Sb.upf
Pd 106.42 Pd.upf
CELL_PARAMETERS angstrom
5.200 -3.840 0.000
5.200 3.840 0.000
-0.804 0.000 4.777
ATOMIC_POSITIONS angstrom
Sr 0.000 0.000 0.000
Sb 3.142 0.000 1.268
Sb 6.454 0.000 3.509
Pd 2.278 1.360 3.626
Pd 4.798 1.691 2.388
Pd 2.278 -1.360 3.626
Pd 7.318 1.360 1.151
Pd 4.798 -1.691 2.388
Pd 7.318 -1.360 1.151
! Excess energy over the best structure of this formula in the dataset, kJ per mole of atoms: 0.0

***

CsTl2InCl6 after structural relaxation, computed with PBE-GGA. Values from VASP.

The structure in Quantum ESPRESSO input format:
```
&SYSTEM
  ibrav = 0, nat = 10, ntyp = 4
/
ATOMIC_SPECIES
Cs 132.91 Cs.upf
Tl 204.38 Tl.upf
In 114.82 In.upf
Cl 35.45 Cl.upf
CELL_PARAMETERS angstrom
7.908 0.000 0.000
3.951 6.857 0.000
3.953 2.284 6.750
ATOMIC_POSITIONS angstrom
Cs 0.000 0.000 0.000
Tl 3.952 2.288 1.045
Tl 11.859 6.859 4.166
In 7.905 4.572 3.652
Cl 5.875 4.614 5.266
Cl 6.695 6.342 2.274
Cl 8.955 6.308 5.270
Cl 6.982 2.637 2.273
Cl 8.882 2.794 5.268
Cl 10.045 4.739 2.277
```

***

Values for DOS at the Fermi energy, states/eV/atom, ordered as above
0.39; 0.00
Values for energy relative to the elements, uncorrected, kJ per mole of atoms, ordered as above
-38.8; -122.1
Values for spin magnetization, Bohr magnetons per cell, ordered as above
0.0; 0.0